No. 1
# Ba2CdHg6Pb PBE optimized geometry
# Crystal system ... cubic
data_Ba2CdHg6Pb
_chemical_formula_sum 'Ba8 Cd4 Hg24 Pb4'
_space_group_name_H-M_alt 'F m -3 m'
_space_group_IT_number 225
_space_group_name_Hall '-F 4 2 3'
_cell_length_a 11.356
_cell_length_b 11.356
_cell_length_c 11.356
_cell_angle_alpha 90.00
_cell_angle_beta 90.00
_cell_angle_gamma 90.00
loop_
_atom_site_label
_atom_site_type_symbol
_atom_site_fract_x
_atom_site_fract_y
_atom_site_fract_z
Ba1 Ba 0.250 0.250 0.250
Cd1 Cd 0.000 0.000 0.000
Hg1 Hg 0.000 0.000 0.244
Pb1 Pb 0.000 0.000 0.500


No. 2
# Ba2CdHg4Pb2 PBE optimized geometry
# Crystal system ... tetragonal
data_Ba2CdHg4Pb2
_chemical_formula_sum 'Ba4 Cd2 Hg8 Pb4'
_space_group_name_H-M_alt 'I 4/m m m'
_space_group_IT_number 139
_space_group_name_Hall '-I 4 2'
_cell_length_a 7.349
_cell_length_b 7.349
_cell_length_c 10.645
_cell_angle_alpha 90.00
_cell_angle_beta 90.00
_cell_angle_gamma 90.00
loop_
_atom_site_label
_atom_site_type_symbol
_atom_site_fract_x
_atom_site_fract_y
_atom_site_fract_z
Ba1 Ba 0.000 0.500 0.250
Cd1 Cd 0.000 0.000 0.000
Hg1 Hg 0.224 0.224 0.500
Pb1 Pb 0.000 0.000 0.299


No. 3
# BaCd2HgPd PBE optimized geometry
# Crystal system ... tetragonal
# Energy above the lowest structure with this stoichiometry ... 56 meV per atom
data_BaCd2HgPd
_chemical_formula_sum 'Ba1 Cd2 Hg1 Pd1'
_space_group_name_H-M_alt 'P 4/m m m'
_space_group_IT_number 123
_space_group_name_Hall '-P 4 2'
_cell_length_a 5.301
_cell_length_b 5.301
_cell_length_c 5.899
_cell_angle_alpha 90.00
_cell_angle_beta 90.00
_cell_angle_gamma 90.00
loop_
_atom_site_label
_atom_site_type_symbol
_atom_site_fract_x
_atom_site_fract_y
_atom_site_fract_z
Ba1 Ba 0.000 0.000 0.000
Cd1 Cd 0.000 0.500 0.500
Hg1 Hg 0.500 0.500 0.000
Pd1 Pd 0.000 0.000 0.500


| no. | DFT formation energy (meV/atom) | size of the total moment (μB per cell) |
| --- | --- | --- |
| 1 | -118 | 0.0 |
| 2 | -335 | 0.0 |
| 3 | -269 | 0.0 |